Record 1
# TbBePt3

A relaxed TbBePt3 crystal (PBE-GGA, the Alexandria database).

POSCAR file:
```
TbBePt3
1.0
-3.556 -2.549 0.084
0.438 -0.467 4.329
-2.513 3.526 0.635
Pt Tb Be
3 1 1
Direct
0.000 0.500 0.000
0.000 0.000 0.500
0.500 0.000 0.000
0.500 0.500 0.500
0.000 0.000 0.000
```

V, Å³ per cell: 83.8
Size of the total moment, μB/atom: 0.000
Offset from the most stable computed form, eV/f.u.: 0.62
DOS at the Fermi energy, states/eV/f.u.: 3.4

---

Record 2
# Sr3Pm3TmS8

A relaxed Sr3Pm3TmS8 crystal (PBE-GGA, the Alexandria database).

POSCAR file:
```
Sr3Pm3TmS8
1.0
8.141 0.000 0.000
-4.071 7.050 -0.025
0.000 -4.676 6.922
Sr S Tm Pm
3 8 1 3
Direct
0.500 0.500 0.000
0.000 0.000 0.000
0.000 0.500 0.000
0.746 0.492 0.738
0.254 0.508 0.262
0.246 0.011 0.276
0.235 0.989 0.724
0.235 0.470 0.724
0.765 0.011 0.276
0.754 0.989 0.724
0.765 0.530 0.276
0.000 0.000 0.500
0.000 0.500 0.500
0.500 0.000 0.500
0.500 0.500 0.500
```

V, Å³ per cell: 396.3
Size of the total moment, μB/atom: 0.000
Formation energy (no corrections), meV/atom: -2086
DOS at the Fermi energy, states/eV/f.u.: 4.7

---

Record 3
# Ni2PbN

A relaxed Ni2PbN crystal (PBE-GGA, the Alexandria database).

POSCAR file:
```
Ni2PbN
1.0
4.741 0.000 0.000
0.000 4.741 0.000
2.371 2.371 5.585
Pb Ni N
2 4 2
Direct
0.000 0.000 0.000
0.750 0.250 0.500
0.875 0.592 0.750
0.342 0.125 0.250
0.375 0.658 0.750
0.408 0.625 0.250
0.250 0.750 0.500
0.500 0.500 0.000
```

V, Å³ per cell: 125.6
Size of the total moment, μB/atom: 0.000
Offset from the most stable computed form, eV/f.u.: 0.00
Formation energy (no corrections), meV/atom: 156
DOS at the Fermi energy, states/eV/f.u.: 4.1

---

Record 4
# TaTcIr2

A relaxed TaTcIr2 crystal (PBE-GGA, the Alexandria database).

POSCAR file:
```
TaTcIr2
1.0
3.937 0.000 0.000
0.000 3.937 0.000
0.000 0.000 3.924
Ir Ta Tc
2 1 1
Direct
0.500 0.500 0.000
0.000 0.000 0.000
0.500 0.000 0.500
0.000 0.500 0.500
```

V, Å³ per cell: 60.8
Size of the total moment, μB/atom: 0.000
Offset from the most stable computed form, eV/f.u.: 0.00
DOS at the Fermi energy, states/eV/f.u.: 3.2

---

Record 5
# ZrFe2HRh

A relaxed ZrFe2HRh crystal (PBE-GGA, the Alexandria database).

POSCAR file:
```
ZrFe2HRh
1.0
3.754 0.000 0.000
0.000 3.754 0.000
0.000 0.000 4.305
Rh Zr Fe H
1 1 2 1
Direct
0.500 0.500 0.500
0.000 0.000 0.500
0.000 0.500 0.000
0.500 0.000 0.000
0.000 0.000 0.000
```

V, Å³ per cell: 60.7
Size of the total moment, μB/atom: 0.790
Offset from the most stable computed form, eV/f.u.: 0.00
DOS at the Fermi energy, states/eV/f.u.: 4.4

---

Record 6
# Ca2GeMo

A relaxed Ca2GeMo crystal (PBE-GGA, the Alexandria database).

POSCAR file:
```
Ca2GeMo
1.0
-4.010 -7.005 1.393
6.869 -4.220 -1.451
2.088 -5.459 2.644
Ca Ge Mo
4 2 2
Direct
0.610 0.125 0.250
0.140 0.625 0.250
0.375 0.390 0.750
0.875 0.860 0.750
0.250 0.750 0.500
0.500 0.500 0.000
0.000 0.000 0.000
0.750 0.250 0.500
```

V, Å³ per cell: 185.0
Size of the total moment, μB/atom: 0.000
DOS at the Fermi energy, states/eV/f.u.: 3.2
Uncorrected energy, eV/atom: -4.23

---

Record 7
# Cu2BrCl2

A relaxed Cu2BrCl2 crystal (PBE-GGA, the Alexandria database).

POSCAR file:
```
Cu2BrCl2
1.0
7.448 0.000 0.000
0.000 7.448 0.000
0.000 0.000 4.260
Cl Br Cu
4 2 4
Direct
0.662 0.838 0.500
0.838 0.338 0.500
0.338 0.162 0.500
0.162 0.662 0.500
0.500 0.500 0.000
0.000 0.000 0.000
0.215 0.715 0.000
0.285 0.215 0.000
0.715 0.785 0.000
0.785 0.285 0.000
```

V, Å³ per cell: 236.3
Size of the total moment, μB/atom: 0.000
Offset from the most stable computed form, eV/f.u.: 0.59
Formation energy (no corrections), meV/atom: -274
DOS at the Fermi energy, states/eV/f.u.: 2.6

---

Record 8
# LiDy2V

A relaxed LiDy2V crystal (PBE-GGA, the Alexandria database).

POSCAR file:
```
LiDy2V
1.0
-1.782 1.586 2.657
-0.290 -3.138 1.679
6.653 1.343 3.659
Dy V Li
2 1 1
Direct
0.000 0.000 0.778
0.000 0.000 0.222
0.500 0.500 0.000
0.500 0.500 0.500
```

V, Å³ per cell: 98.3
Size of the total moment, μB/atom: 0.617
Offset from the most stable computed form, eV/f.u.: 0.00
DOS at the Fermi energy, states/eV/f.u.: 3.6